ScBeP2, optimized geometry, DFT GGA-PBE; calculated total energy = -22.963 eV per cell
1.0
3.5034 0.0000 0.0000
0.0000 3.5231 -0.0166
0.0000 0.0326 5.0198
P Be Sc
2 1 1
direct
0.0000 0.7485 0.4884
0.0000 0.7515 0.0116
0.5000 0.7500 0.7500
0.5000 0.2500 0.2500

---

ScBeP2, optimized geometry, DFT GGA-PBE; calculated total energy = -23.488 eV per cell
1.0
-4.1893 0.7555 3.1427
-5.2413 0.6687 -0.2827
-1.5685 -3.1768 0.5623
P Sc Be
2 1 1
direct
0.9383 0.9383 0.9477
0.1866 0.1866 0.6750
0.5626 0.5626 0.3094
0.8125 0.8125 0.5678

---

ScBe4P2, optimized geometry, DFT GGA-PBE; calculated total energy = -24.033 eV per cell
1.0
-2.4256 -0.5274 -3.4513
3.4817 -0.6780 -2.3433
0.1520 -6.6312 -1.7118
P Be Sc
2 4 1
direct
0.6117 0.6117 0.7766
0.3883 0.3883 0.2234
0.2198 0.2198 0.5604
0.5000 0.0000 0.0000
0.7802 0.7802 0.4396
0.0000 0.5000 0.0000
0.0000 0.0000 0.0000

---

Sc2BeP2, optimized geometry, DFT GGA-PBE; calculated total energy = -63.223 eV per cell
1.0
6.5793 0.0000 0.0000
0.0000 6.5793 0.0000
0.0000 0.0000 3.6529
Sc P Be
4 4 2
direct
0.1585 0.6585 0.5000
0.3415 0.1585 0.5000
0.8415 0.3415 0.5000
0.6585 0.8415 0.5000
0.6549 0.1549 0.0000
0.3451 0.8451 0.0000
0.1549 0.3451 0.0000
0.8451 0.6549 0.0000
0.0000 0.0000 0.0000
0.5000 0.5000 0.0000

---

ScBe2P, optimized geometry, DFT GGA-PBE; calculated total energy = -20.806 eV per cell
1.0
-2.0438 1.5644 2.7847
-0.9756 -1.6803 3.2564
3.0020 1.4962 3.4942
P Be Sc
1 2 1
direct
0.4848 0.4848 0.6128
0.7363 0.7363 0.7839
0.0168 0.0168 0.8706
0.2621 0.2621 0.2327

---

ScBeP2, optimized geometry, DFT GGA-PBE; calculated total energy = -22.665 eV per cell
1.0
-5.2788 3.1694 -0.1934
-4.9592 1.5183 -3.3240
-6.1352 -0.2672 -0.4854
P Sc Be
2 1 1
direct
0.4877 0.4877 0.4877
0.0123 0.0123 0.0123
0.2500 0.2500 0.2500
0.7500 0.7500 0.7500

---

Number 1: total magnetic moment 0.0 μB/f.u.. Number 2: total magnetic moment 0.0 μB/f.u.. Number 3: total magnetic moment 0.0 μB/f.u.. Number 4: total magnetic moment 0.0 μB/f.u.. Number 5: total magnetic moment 0.0 μB/f.u.. Number 6: total magnetic moment 0.0 μB/f.u..